This record from Alexandria describes BeAg after structural relaxation. The functional is PBE.

Computed properties:
As for the symmetry: R-3m (166). The total magnetization comes out at 0.000 μB/f.u. As for the energy of formation: 31.6 kJ per mole of atoms.

Cell: 4.2819 4.2819 4.2819 Å, 38.28 38.28 38.28°
Positions (direct):
Be: 0.0000 0.0000 0.0000
Ag: 0.5000 0.5000 0.5000